(1)
# HoIn2P2Pt7

A relaxed HoIn2P2Pt7 crystal (PBE, the Alexandria database).

a b c (Å): 15.2947 15.2947 15.2947
angles (deg): 165.18 165.18 21.02
Last column: nearest neighbours and their distance in Å.
Fractional coordinates of all 12 atoms:
1 Ho 0.0000 0.0000 0.0000  12 Pt 2.79-2.96
2 In 0.2132 0.2132 0.0000  5 Pt 2.82-2.85
3 In 0.7868 0.7868 0.0000  5 Pt 2.82-2.85
4 P 0.3825 0.3825 0.0000  5 Pt 2.27-2.38
5 P 0.6175 0.6175 0.0000  5 Pt 2.27-2.38
6 Pt 0.0734 0.5734 0.5000  2 P 2.38
7 Pt 0.3069 0.3069 0.0000  1 P 2.27
8 Pt 0.4266 0.9266 0.5000  2 P 2.38
9 Pt 0.5000 0.5000 0.0000  4 Ho 2.79, 8 Pt 2.96
10 Pt 0.5734 0.0734 0.5000  2 P 2.38
11 Pt 0.6931 0.6931 0.0000  1 P 2.27
12 Pt 0.9266 0.4266 0.5000  2 P 2.38

## Properties
ΔH_f (0 K), eV per atom: -0.67



(2)
# Ho2InP3Rh12

A relaxed Ho2InP3Rh12 crystal (PBE, the Alexandria database).

a b c (Å): 6.6967 6.6967 6.6967
angles (deg): 83.28 83.28 83.28
Last column: nearest neighbours and their distance in Å.
Fractional coordinates of all 18 atoms:
1 Ho 0.1260 0.1260 0.1260  3 Rh 2.55
2 Ho 0.8740 0.8740 0.8740  3 Rh 2.55
3 In 0.5000 0.5000 0.5000  6 Rh 2.63
4 P 0.0000 0.5000 0.5000  2 Rh 2.22
5 P 0.5000 0.0000 0.5000  2 Rh 2.22
6 P 0.5000 0.5000 0.0000  2 Rh 2.22
7 Rh 0.1295 0.1295 0.5960  2 P 2.56, 1 Rh 2.71
8 Rh 0.1295 0.5960 0.1295  2 P 2.56, 1 Rh 2.71
9 Rh 0.1644 0.6759 0.6759  1 P 2.22
10 Rh 0.3241 0.3241 0.8356  1 P 2.22
11 Rh 0.3241 0.8356 0.3241  1 P 2.22
12 Rh 0.4040 0.8705 0.8705  2 P 2.56, 1 Rh 2.71
13 Rh 0.5960 0.1295 0.1295  2 P 2.56, 1 Rh 2.71
14 Rh 0.6759 0.1644 0.6759  1 P 2.22
15 Rh 0.6759 0.6759 0.1644  1 P 2.22
16 Rh 0.8356 0.3241 0.3241  1 P 2.22
17 Rh 0.8705 0.4040 0.8705  2 P 2.56, 1 Rh 2.71
18 Rh 0.8705 0.8705 0.4040  2 P 2.56, 1 Rh 2.71

## Properties
ΔH_f (0 K), eV per atom: -0.30



(3)
# HoInP2Rh5

A relaxed HoInP2Rh5 crystal (PBE, the Alexandria database).

a b c (Å): 4.0302 4.0302 10.2521
angles (deg): 90.00 90.00 90.00
Last column: nearest neighbours and their distance in Å.
Fractional coordinates of all 9 atoms:
1 Ho 0.0000 0.0000 0.0000  4 Rh 2.85
2 In 0.0000 0.0000 0.5000  8 Rh 2.74
3 P 0.5000 0.5000 0.2193  5 Rh 2.25-2.26
4 P 0.5000 0.5000 0.7807  5 Rh 2.25-2.26
5 Rh 0.0000 0.5000 0.3185  2 P 2.26
6 Rh 0.0000 0.5000 0.6815  2 P 2.26
7 Rh 0.5000 0.0000 0.3185  2 P 2.26
8 Rh 0.5000 0.0000 0.6815  2 P 2.26
9 Rh 0.5000 0.5000 0.0000  2 P 2.25

## Properties
ΔH_f (0 K), eV per atom: -0.61



(4)
# Ho2In2PRh4

A relaxed Ho2In2PRh4 crystal (PBE, the Alexandria database).

a b c (Å): 6.2394 6.2394 6.2394
angles (deg): 119.50 119.50 90.87
Last column: nearest neighbours and their distance in Å.
Fractional coordinates of all 9 atoms:
1 Ho 0.1986 0.1986 0.0000  1 P 2.64, 4 Rh 2.79
2 Ho 0.8014 0.8014 0.0000  1 P 2.64, 4 Rh 2.79
3 In 0.2500 0.7500 0.5000  8 Rh 3.12, 4 Ho 3.18
4 In 0.7500 0.2500 0.5000  8 Rh 3.12, 4 Ho 3.18
5 P 0.5000 0.5000 0.0000  4 Rh 2.27
6 Rh 0.2449 0.2449 0.4899  1 P 2.27
7 Rh 0.2449 0.7551 0.0000  1 P 2.27
8 Rh 0.7551 0.2449 0.0000  1 P 2.27
9 Rh 0.7551 0.7551 0.5101  1 P 2.27

## Properties
ΔH_f (0 K), eV per atom: -0.52



(5)
# Ho6InP2S3

A relaxed Ho6InP2S3 crystal (PBE, the Alexandria database).

a b c (Å): 8.9660 8.9660 8.1248
angles (deg): 102.88 102.88 25.45
Last column: nearest neighbours and their distance in Å.
Fractional coordinates of all 12 atoms:
1 Ho 0.0017 0.0017 0.2705  3 S 2.72-2.88, 1 P 2.83, 2 In 2.95
2 Ho 0.3273 0.3273 0.9051  3 S 2.72-2.90, 2 P 2.80, 1 In 2.94
3 Ho 0.3297 0.3297 0.4226  3 P 2.76-2.78, 3 S 2.86-2.90
4 Ho 0.6703 0.6703 0.5774  3 P 2.76-2.78, 3 S 2.86-2.90
5 Ho 0.6727 0.6727 0.0949  3 S 2.72-2.90, 2 P 2.80, 1 In 2.94
6 Ho 0.9983 0.9983 0.7295  3 S 2.72-2.88, 1 P 2.83, 2 In 2.95
7 In 0.5000 0.5000 0.0000  6 Ho 2.94-2.95
8 P 0.1676 0.1676 0.3357  6 Ho 2.76-2.83
9 P 0.8324 0.8324 0.6643  6 Ho 2.76-2.83
10 S 0.1675 0.1675 0.8310  6 Ho 2.72-2.90
11 S 0.5000 0.5000 0.5000  6 Ho 2.72-2.90
12 S 0.8325 0.8325 0.1690  6 Ho 2.72-2.90

## Properties
Formation energy without anion corrections, eV per atom: -1.564



(6)
# Ho8In3PSe3

A relaxed Ho8In3PSe3 crystal (PBE, the Alexandria database).

a b c (Å): 7.8422 7.8422 8.9659
angles (deg): 115.87 115.87 60.09
Last column: nearest neighbours and their distance in Å.
Fractional coordinates of all 15 atoms:
1 Ho 0.2323 0.2323 0.7150  1 P 2.74, 2 Se 2.85
2 Ho 0.2320 0.7507 0.7147  1 P 2.74, 2 Se 2.84-2.85
3 Ho 0.2493 0.7680 0.2853  1 P 2.74, 2 Se 2.84-2.85
4 Ho 0.2594 0.2594 0.2780  3 Se 2.84, 3 In 3.12-3.13
5 Ho 0.7406 0.7406 0.7220  3 Se 2.84, 3 In 3.12-3.13
6 Ho 0.7507 0.2320 0.7147  1 P 2.74, 2 Se 2.84-2.85
7 Ho 0.7680 0.2493 0.2853  1 P 2.74, 2 Se 2.84-2.85
8 Ho 0.7677 0.7677 0.2850  1 P 2.74, 2 Se 2.85
9 In 0.0000 0.0000 0.0000  6 Ho 3.13
10 In 0.0000 0.5000 0.0000  6 Ho 3.12-3.13
11 In 0.5000 0.0000 0.0000  6 Ho 3.12-3.13
12 P 0.0000 0.0000 0.5000  6 Ho 2.74
13 Se 0.0000 0.5000 0.5000  6 Ho 2.84-2.85
14 Se 0.5000 0.0000 0.5000  6 Ho 2.84-2.85
15 Se 0.5000 0.5000 0.5000  6 Ho 2.84-2.85

## Properties
Formation energy without anion corrections, eV per atom: -1.010



(7)
# HoPaIn2

A relaxed HoPaIn2 crystal (PBE, the Alexandria database).

a b c (Å): 3.3121 3.3121 9.2685
angles (deg): 90.00 90.00 90.00
Last column: nearest neighbours and their distance in Å.
Fractional coordinates of all 4 atoms:
1 Ho 0.0000 0.0000 0.0000  8 In 3.27, 4 Ho 3.31
2 Pa 0.0000 0.0000 0.5000  4 Pa 3.31, 8 In 3.32
3 In 0.5000 0.5000 0.2467  4 Ho 3.27, 4 In 3.31, 4 Pa 3.32
4 In 0.5000 0.5000 0.7533  4 Ho 3.27, 4 In 3.31, 4 Pa 3.32

## Properties
ΔH_f (0 K), eV per atom: -0.21



(8)
# HoPaIn4

A relaxed HoPaIn4 crystal (PBE, the Alexandria database).

a b c (Å): 5.9928 5.9928 5.9928
angles (deg): 60.00 60.00 60.00
Last column: nearest neighbours and their distance in Å.
Fractional coordinates of all 6 atoms:
1 Ho 0.0000 0.0000 0.0000  12 In 3.51, 4 Pa 3.67
2 Pa 0.2500 0.2500 0.2500  12 In 3.51, 4 Ho 3.67
3 In 0.1254 0.6249 0.6249  6 In 2.99-3.00
4 In 0.6249 0.1254 0.6249  6 In 2.99-3.00
5 In 0.6249 0.6249 0.1254  6 In 2.99-3.00
6 In 0.6249 0.6249 0.6249  6 In 2.99-3.00

## Properties
ΔH_f (0 K), eV per atom: -0.07